# 1
The following is a GGA-PBE calculation of BaY2AlBr after structural relaxation, from the Alexandria database.

Cell lengths 5.6663, 5.6663, 6.2094 Å; angles 90.00, 90.00, 90.00 degrees
Sites, in units of the cell vectors:
Ba 0.0000 0.0000 0.0000
Y 0.0000 0.5000 0.5000
Y 0.5000 0.0000 0.5000
Al 0.5000 0.5000 0.5000
Br 0.5000 0.5000 0.0000

Values from the calculation:
As for the energy above the most stable polymorph in this dataset: 0 meV per atom. Its symmetry is P4/mmm. For the calculated volume, the calculation gives 39.9 Å³ per atom. As for the crystal system: tetragonal. The calculation puts the theoretical density at 3.5 g cm⁻³. The total magnetization comes out at 0.9 μB/f.u.

---

# 2
The following is a GGA-PBE calculation of Sm3ErTm6Th2 after structural relaxation, from the Alexandria database.

Cell lengths 6.1399, 6.1399, 11.6644 Å; angles 95.04, 95.04, 119.98 degrees
Sites, in units of the cell vectors:
Sm 0.0000 0.0000 0.0000
Sm 0.3338 0.6662 0.0000
Sm 0.6662 0.3338 0.0000
Er 0.5000 0.5000 0.5000
Tm 0.0812 0.4180 0.2539
Tm 0.2451 0.2451 0.7465
Tm 0.4180 0.0812 0.2539
Tm 0.5820 0.9188 0.7461
Tm 0.7549 0.7549 0.2535
Tm 0.9188 0.5820 0.7461
Th 0.1666 0.8334 0.5000
Th 0.8334 0.1666 0.5000

Values from the calculation:
As for the energy of formation: 0.02 eV/atom. Its symmetry is C2/m. For the calculated volume, the calculation gives 31.2 Å³ per atom. As for the crystal system: monoclinic. The calculation puts the theoretical density at 9.3 g cm⁻³. The total magnetization comes out at 0.0 μB/f.u.

---

# 3
The following is a GGA-PBE calculation of AcPm2P3 after structural relaxation, from the Alexandria database.

Cell lengths 7.3520, 7.3520, 7.3520 Å; angles 146.50, 131.72, 60.04 degrees
Sites, in units of the cell vectors:
Ac 0.0000 0.0000 0.0000
Pm 0.3335 0.3335 0.0000
Pm 0.6665 0.6665 0.0000
P 0.1754 0.6754 0.5000
P 0.5000 0.0000 0.5000
P 0.8246 0.3246 0.5000

Values from the calculation:
As for the energy of formation: -1.50 eV/atom. Its symmetry is Immm. For the calculated volume, the calculation gives 27.0 Å³ per atom. As for the crystal system: orthorhombic. The calculation puts the theoretical density at 6.2 g cm⁻³. The total magnetization comes out at 0.0 μB/f.u.

---

# 4
The following is a GGA-PBE calculation of Er3ThFe8 after structural relaxation, from the Alexandria database.

Cell lengths 8.8986, 8.8986, 8.8986 Å; angles 33.62, 33.62, 33.62 degrees
Sites, in units of the cell vectors:
Er 0.0000 0.0000 0.0000
Er 0.1237 0.1237 0.1237
Er 0.4967 0.4967 0.4967
Th 0.6232 0.6232 0.6232
Fe 0.0603 0.0603 0.5597
Fe 0.0603 0.5597 0.0603
Fe 0.0628 0.5612 0.5612
Fe 0.3117 0.3117 0.3117
Fe 0.5597 0.0603 0.0603
Fe 0.5612 0.0628 0.5612
Fe 0.5612 0.5612 0.0628
Fe 0.8103 0.8103 0.8103

Values from the calculation:
As for the energy of formation: -0.12 eV/atom. Its symmetry is R3m. For the calculated volume, the calculation gives 16.0 Å³ per atom. As for the crystal system: trigonal. The calculation puts the theoretical density at 10.2 g cm⁻³. The total magnetization comes out at 14.2 μB/f.u.

---

# 5
The following is a GGA-PBE calculation of NaGd2Al after structural relaxation, from the Alexandria database.

Cell lengths 3.4062, 3.4062, 10.0871 Å; angles 90.00, 90.00, 90.00 degrees
Sites, in units of the cell vectors:
Na 0.0000 0.0000 0.0000
Gd 0.5000 0.5000 0.3037
Gd 0.5000 0.5000 0.6963
Al 0.0000 0.0000 0.5000

Values from the calculation:
As for the energy of formation: -0.09 eV/atom. Its symmetry is P4/mmm. For the calculated volume, the calculation gives 29.3 Å³ per atom. As for the crystal system: tetragonal. The calculation puts the theoretical density at 5.2 g cm⁻³. The total magnetization comes out at 15.3 μB/f.u.

---

# 6
The following is a GGA-PBE calculation of SmHoMnCu after structural relaxation, from the Alexandria database.

Cell lengths 4.9940, 4.9940, 4.9940 Å; angles 60.00, 60.00, 60.00 degrees
Sites, in units of the cell vectors:
Sm 0.0000 0.0000 0.0000
Ho 0.5000 0.5000 0.5000
Mn 0.2500 0.2500 0.2500
Cu 0.7500 0.7500 0.7500

Values from the calculation:
As for the energy of formation: 0.05 eV/atom. Its symmetry is F-43m. For the calculated volume, the calculation gives 22.0 Å³ per atom. As for the crystal system: cubic. The calculation puts the theoretical density at 8.2 g cm⁻³. The total magnetization comes out at 3.1 μB/f.u.

---

# 7
The following is a GGA-PBE calculation of CaSm2Si3Pt4 after structural relaxation, from the Alexandria database.

Cell lengths 4.2514, 4.2514, 10.7882 Å; angles 90.00, 90.00, 90.00 degrees
Sites, in units of the cell vectors:
Ca 0.0000 0.0000 0.0000
Sm 0.0000 0.5000 0.7285
Sm 0.5000 0.0000 0.2715
Si 0.0000 0.5000 0.3812
Si 0.5000 0.0000 0.6188
Si 0.5000 0.5000 0.0000
Pt 0.0000 0.0000 0.5000
Pt 0.0000 0.5000 0.1621
Pt 0.5000 0.0000 0.8379
Pt 0.5000 0.5000 0.5000

Values from the calculation:
Its symmetry is P-4m2. For the calculated volume, the calculation gives 19.5 Å³ per atom. As for the crystal system: tetragonal. The calculation puts the theoretical density at 10.3 g cm⁻³. The total magnetization comes out at 0.0 μB/f.u.

---

# 8
The following is a GGA-PBE calculation of LaTb2TlO after structural relaxation, from the Alexandria database.

Cell lengths 4.8539, 4.8539, 5.0509 Å; angles 90.00, 90.00, 90.00 degrees
Sites, in units of the cell vectors:
La 0.0000 0.0000 0.0000
Tb 0.0000 0.5000 0.5000
Tb 0.5000 0.0000 0.5000
Tl 0.5000 0.5000 0.0000
O 0.0000 0.0000 0.5000

Values from the calculation:
Its symmetry is P4/mmm. For the calculated volume, the calculation gives 23.8 Å³ per atom. As for the crystal system: tetragonal. The calculation puts the theoretical density at 9.4 g cm⁻³. The total magnetization comes out at 0.0 μB/f.u.

---

# 9
The following is a GGA-PBE calculation of YHgI2N after structural relaxation, from the Alexandria database.

Cell lengths 6.1797, 6.1797, 4.5479 Å; angles 90.00, 90.00, 90.00 degrees
Sites, in units of the cell vectors:
Y 0.0000 0.0000 0.0000
Hg 0.5000 0.5000 0.5000
I 0.0000 0.5000 0.0000
I 0.5000 0.0000 0.0000
N 0.0000 0.0000 0.5000

Values from the calculation:
As for the energy above the most stable polymorph in this dataset: 0 meV per atom. Its symmetry is P4/mmm. For the calculated volume, the calculation gives 34.7 Å³ per atom. As for the crystal system: tetragonal. The calculation puts the theoretical density at 5.3 g cm⁻³. The total magnetization comes out at 1.8 μB/f.u.

---

# 10
The following is a GGA-PBE calculation of Al2CuBr2 after structural relaxation, from the Alexandria database.

Cell lengths 8.8600, 8.8600, 8.8600 Å; angles 156.04, 156.04, 34.14 degrees
Sites, in units of the cell vectors:
Al 0.2500 0.7500 0.5000
Al 0.7500 0.2500 0.5000
Cu 0.0000 0.0000 0.0000
Br 0.4026 0.4026 0.0000
Br 0.5974 0.5974 0.0000

Values from the calculation:
As for the energy above the most stable polymorph in this dataset: 0 meV per atom. Its symmetry is I4/mmm. For the calculated volume, the calculation gives 22.9 Å³ per atom. As for the crystal system: tetragonal. The calculation puts the theoretical density at 4.0 g cm⁻³. The total magnetization comes out at 0.0 μB/f.u.

---

| no. | final energy (eV/atom) |
| --- | --- |
| 1 | -3.888 |
| 2 | -5.014 |
| 3 | -6.470 |
| 4 | -7.516 |
| 5 | -8.397 |
| 6 | -5.588 |
| 7 | -6.171 |
| 8 | -5.651 |
| 9 | -3.834 |
| 10 | -2.808 |